1.
Computed, not measured: crystalline Tm3Mg2Zr2 at its relaxed geometry at the PBE-GGA level of DFT.

Cell: 5.0369 3.3096 11.4272 Å, 90.00 77.27 90.00°
Element x y z (fractional)
Tm 0.8476 0.0000 0.3048
Tm 0.0000 0.0000 0.0000
Tm 0.1524 0.0000 0.6952
Mg 0.5739 0.5000 0.8522
Mg 0.4261 0.5000 0.1478
Zr 0.7221 0.5000 0.5558
Zr 0.2779 0.5000 0.4442

## Properties
The value obtained for the density of states at the Fermi level is 6.830 states/eV/f.u. The value obtained for the energy of formation is 2 kJ/mol of atoms.


2.
Computed, not measured: crystalline As2Pb at its relaxed geometry at the PBE-GGA level of DFT.

Cell: 3.5841 5.5057 4.1755 Å, 90.01 90.00 109.00°
Element x y z (fractional)
Pb 0.0000 0.0000 0.0000
As 0.6658 0.3316 0.5000
As 0.3342 0.6684 0.5000

## Properties
The value obtained for the density of states at the Fermi level is 1.472 states/eV/f.u. Its relative energy among the computed polymorphs is 60.6 meV per atom. The value obtained for the energy of formation is 11 kJ/mol of atoms.


3.
Computed, not measured: crystalline GaAuN2 at its relaxed geometry at the PBE-GGA level of DFT.

Cell: 4.9490 4.9490 5.6023 Å, 63.79 63.79 90.00°
Element x y z (fractional)
Au 0.0000 0.0000 0.0000
Au 0.7500 0.2500 0.5000
Ga 0.5000 0.5000 0.0000
Ga 0.2500 0.7500 0.5000
N 0.5836 0.1250 0.2500
N 0.1664 0.6250 0.2500
N 0.3750 0.4164 0.7500
N 0.8750 0.8336 0.7500

## Properties
The raw formation energy comes out at 68.81 kJ/mol of atoms. The value obtained for the density of states at the Fermi level is 0.531 states/eV/f.u.


4.
Computed, not measured: crystalline Li6GaNi2 at its relaxed geometry at the PBE-GGA level of DFT.

Cell: 2.7586 7.5556 7.5556 Å, 124.12 86.10 86.10°
Element x y z (fractional)
Li 0.8196 0.5031 0.1500
Li 0.1804 0.4969 0.8500
Li 0.6564 0.6772 0.6772
Li 0.8196 0.1500 0.5031
Li 0.1804 0.8500 0.4969
Li 0.3436 0.3228 0.3228
Ga 0.0000 0.0000 0.0000
Ni 0.5000 0.8506 0.1494
Ni 0.5000 0.1494 0.8506

## Properties
The value obtained for the density of states at the Fermi level is 5.040 states/eV/f.u. Its relative energy among the computed polymorphs is 43.8 meV per atom. The value obtained for the energy of formation is -5 kJ/mol of atoms.


5.
Computed, not measured: crystalline InAg2 at its relaxed geometry at the PBE-GGA level of DFT.

Cell: 5.7472 5.7472 7.2457 Å, 73.40 73.40 31.33°
Element x y z (fractional)
Ag 0.0108 0.0108 0.0085
Ag 0.3353 0.3353 0.3318
Ag 0.6092 0.6092 0.2793
Ag 0.9336 0.9336 0.6027
In 0.6546 0.6546 0.6556
In 0.2899 0.2899 0.9556

## Properties
The value obtained for the density of states at the Fermi level is 0.842 states/eV/f.u. The value obtained for the energy of formation is -1 kJ/mol of atoms.


6.
Computed, not measured: crystalline Li2B2F7 at its relaxed geometry at the PBE-GGA level of DFT.

Cell: 5.4632 5.4632 11.3550 Å, 102.94 102.94 98.70°
Element x y z (fractional)
Li 0.1795 0.6748 0.4454
Li 0.3252 0.8205 0.0546
Li 0.6748 0.1795 0.9454
Li 0.8205 0.3252 0.5546
B 0.0650 0.2515 0.1983
B 0.2515 0.0650 0.6983
B 0.7485 0.9350 0.3017
B 0.9350 0.7485 0.8017
F 0.9713 0.8504 0.3408
F 0.9665 0.3543 0.1009
F 0.2397 0.4323 0.2989
F 0.8289 0.1711 0.2500
F 0.8504 0.9713 0.8408
F 0.3543 0.9665 0.6009
F 0.4323 0.2397 0.7989
F 0.5677 0.7603 0.2011
F 0.6457 0.0335 0.3991
F 0.1496 0.0287 0.1592
F 0.1711 0.8289 0.7500
F 0.7603 0.5677 0.7011
F 0.0335 0.6457 0.8991
F 0.0287 0.1496 0.6592

## Properties
The raw formation energy comes out at -241.83 kJ/mol of atoms. The value obtained for the density of states at the Fermi level is 1.374 states/eV/f.u. Its relative energy among the computed polymorphs is 0.0 meV per atom.


7.
Computed, not measured: crystalline RhCIO2 at its relaxed geometry at the PBE-GGA level of DFT.

Cell: 3.6934 3.6934 8.2138 Å, 90.00 90.00 90.00°
Element x y z (fractional)
I 0.0000 0.0000 0.5000
C 0.5000 0.5000 0.5000
Rh 0.0000 0.0000 0.0000
O 0.0000 0.5000 0.0000
O 0.5000 0.0000 0.0000

## Properties
The raw formation energy comes out at 87.54 kJ/mol of atoms. The value obtained for the density of states at the Fermi level is 4.131 states/eV/f.u. Its relative energy among the computed polymorphs is 0.0 meV per atom.


8.
Computed, not measured: crystalline Sc4Ir5 at its relaxed geometry at the PBE-GGA level of DFT.

Cell: 6.5656 6.5656 6.5656 Å, 95.35 95.35 144.43°
Element x y z (fractional)
Sc 0.7086 0.0000 0.7086
Sc 0.2914 0.0000 0.2914
Sc 0.0000 0.2914 0.2914
Sc 0.0000 0.7086 0.7086
Ir 0.0000 0.0000 0.0000
Ir 0.6653 0.3347 0.0000
Ir 0.3347 0.6653 0.0000
Ir 0.3347 0.3347 0.6695
Ir 0.6653 0.6653 0.3305

## Properties
The value obtained for the density of states at the Fermi level is 6.446 states/eV/f.u. Its relative energy among the computed polymorphs is 0.0 meV per atom. The value obtained for the energy of formation is -68 kJ/mol of atoms.


9.
Computed, not measured: crystalline GaOsIO2 at its relaxed geometry at the PBE-GGA level of DFT.

Cell: 3.7677 3.7677 6.6927 Å, 90.00 90.00 90.00°
Element x y z (fractional)
I 0.0000 0.0000 0.5000
Os 0.5000 0.5000 0.5000
O 0.0000 0.5000 0.0000
O 0.5000 0.0000 0.0000
Ga 0.0000 0.0000 0.0000

## Properties
The raw formation energy comes out at 44.69 kJ/mol of atoms. The value obtained for the density of states at the Fermi level is 3.507 states/eV/f.u. Its relative energy among the computed polymorphs is 701.1 meV per atom.


10.
Computed, not measured: crystalline Dy5ErSc2 at its relaxed geometry at the PBE-GGA level of DFT.

Cell: 8.7731 8.7731 8.7705 Å, 120.01 120.01 90.00°
Element x y z (fractional)
Dy 0.4930 0.6900 0.6831
Dy 0.8100 0.0070 0.3169
Dy 0.0000 0.0000 0.0000
Dy 0.5000 0.5000 0.0000
Dy 0.1900 0.9930 0.6831
Dy 0.6901 0.1901 0.6831
Dy 0.9930 0.4930 0.6831
Dy 0.3099 0.8099 0.3169
Dy 0.0070 0.5070 0.3169
Dy 0.5070 0.3100 0.3169
Er 0.7500 0.7500 0.5000
Er 0.2500 0.2500 0.5000
Sc 0.1422 0.3578 0.0000
Sc 0.6422 0.1422 0.0000
Sc 0.3578 0.8578 0.0000
Sc 0.8578 0.6422 0.0000

## Properties
The value obtained for the density of states at the Fermi level is 9.113 states/eV/f.u. Its relative energy among the computed polymorphs is 82.1 meV per atom. The value obtained for the energy of formation is 10 kJ/mol of atoms.


11.
Computed, not measured: crystalline Zn5Cu4Ni2 at its relaxed geometry at the PBE-GGA level of DFT.

Cell: 2.6570 6.7167 15.8254 Å, 90.00 90.00 90.00°
Element x y z (fractional)
Zn 0.0000 0.5000 0.0000
Zn 0.0000 0.0000 0.5000
Zn 0.0000 0.2588 0.2127
Zn 0.0000 0.7412 0.7873
Zn 0.0000 0.7588 0.2873
Zn 0.0000 0.2412 0.7127
Zn 0.0000 0.3660 0.4357
Zn 0.0000 0.6340 0.5643
Zn 0.0000 0.8660 0.0643
Zn 0.0000 0.1340 0.9357
Cu 0.5000 0.2805 0.5729
Cu 0.5000 0.7195 0.4271
Cu 0.5000 0.7805 0.9271
Cu 0.5000 0.2195 0.0729
Cu 0.5000 0.4221 0.8487
Cu 0.5000 0.5779 0.1513
Cu 0.5000 0.9221 0.6513
Cu 0.5000 0.0779 0.3487
Ni 0.5000 0.4546 0.3109
Ni 0.5000 0.5454 0.6891
Ni 0.5000 0.9546 0.1891
Ni 0.5000 0.0454 0.8109

## Properties
The value obtained for the density of states at the Fermi level is 1.827 states/eV/f.u. The value obtained for the energy of formation is -9 kJ/mol of atoms.


12.
Computed, not measured: crystalline Cd2InAg at its relaxed geometry at the PBE-GGA level of DFT.

Cell: 3.0478 4.3495 6.6368 Å, 90.00 90.00 90.00°
Element x y z (fractional)
Cd 0.0000 0.0000 0.9864
Cd 0.5000 0.5000 0.2347
Ag 0.5000 0.5000 0.7617
In 0.0000 0.0000 0.5172

## Properties
The value obtained for the density of states at the Fermi level is 1.434 states/eV/f.u. The value obtained for the energy of formation is 2 kJ/mol of atoms.


Table of energy (eV/atom), in record order: -4.79; -4.22; -5.03; -2.95; -2.83; -5.26; -4.70; -8.44; -4.68; -4.92; -3.21; -1.83